A plane-wave DFT calculation with PBE-GGA was carried out for a relaxed Hf9Mo4As crystal.

Properties
size of the total moment = 0.000 μB per formula unit
symmetry = P6_3/mmc
energy relative to the elements = -0.2705 eV/atom
theoretical density = 12.12 g/cm³

Structure (POSCAR):
```
Hf9Mo4As
1.0
-7.896 -1.374 -3.346
5.254 -6.720 1.631
-3.280 -0.624 7.996
Hf Mo As
18 8 2
Direct
0.608 0.804 0.044
0.804 0.608 0.544
0.196 0.392 0.044
0.196 0.804 0.044
0.804 0.196 0.544
0.392 0.196 0.544
0.804 0.608 0.956
0.804 0.196 0.956
0.392 0.196 0.956
0.608 0.804 0.456
0.196 0.804 0.456
0.196 0.392 0.456
0.540 0.080 0.250
0.460 0.920 0.750
0.920 0.460 0.250
0.540 0.460 0.250
0.460 0.540 0.750
0.080 0.540 0.750
0.000 0.000 0.000
0.000 0.000 0.500
0.890 0.779 0.250
0.110 0.221 0.750
0.221 0.110 0.250
0.890 0.110 0.250
0.110 0.890 0.750
0.779 0.890 0.750
0.667 0.333 0.750
0.333 0.667 0.250
```